No. 1
# Tm7BeI12

Crystalline Tm7BeI12 at its relaxed geometry (GGA-PBE, Alexandria via LeMat-Bulk). Values from VASP.

Structure (Quantum ESPRESSO input):
```
&SYSTEM
  ibrav = 0, nat = 20, ntyp = 3
/
ATOMIC_SPECIES
Tm 168.93 Tm.upf
Be 9.01 Be.upf
I 126.90 I.upf
ATOMIC_POSITIONS crystal
Tm 0.0000 0.0000 0.0000
Tm 0.2014 0.4691 0.4005
Tm 0.4005 0.2014 0.4691
Tm 0.4691 0.4005 0.2014
Tm 0.5309 0.5995 0.7986
Tm 0.5995 0.7986 0.5309
Tm 0.7986 0.5309 0.5995
Be 0.5000 0.5000 0.5000
I 0.0311 0.1104 0.3444
I 0.1104 0.3444 0.0311
I 0.1820 0.5762 0.7264
I 0.2736 0.8180 0.4238
I 0.3444 0.0311 0.1104
I 0.4238 0.2736 0.8180
I 0.5762 0.7264 0.1820
I 0.6556 0.9689 0.8896
I 0.7264 0.1820 0.5762
I 0.8180 0.4238 0.2736
I 0.8896 0.6556 0.9689
I 0.9689 0.8896 0.6556
CELL_PARAMETERS angstrom
7.7151 4.4543 3.4650
-7.7151 4.4543 3.4650
0.0000 -8.9086 3.4650
```

Calculated values
- Formation energy without anion corrections: -1.0845 eV per atom
- D(E_F): 0.63 states/eV/atom

***

No. 2
# BeV3I

Crystalline BeV3I at its relaxed geometry (GGA-PBE, Alexandria via LeMat-Bulk). Values from VASP.

Structure (Quantum ESPRESSO input):
```
&SYSTEM
  ibrav = 0, nat = 5, ntyp = 3
/
ATOMIC_SPECIES
Be 9.01 Be.upf
V 50.94 V.upf
I 126.90 I.upf
ATOMIC_POSITIONS crystal
Be 0.0000 0.0000 0.0000
V 0.0000 0.0000 0.5000
V 0.0000 0.5000 0.0000
V 0.5000 0.0000 0.0000
I 0.5000 0.5000 0.5000
CELL_PARAMETERS angstrom
4.2847 0.0000 0.0000
0.0000 4.2847 0.0000
0.0000 0.0000 4.2847
```

Calculated values
- Energy above the most stable polymorph in this dataset: 0.000 eV/atom
- Formation energy without anion corrections: 0.9178 eV per atom
- D(E_F): 1.41 states/eV/atom

***

No. 3
# BeVI2

Crystalline BeVI2 at its relaxed geometry (GGA-PBE, Alexandria via LeMat-Bulk). Values from VASP.

Structure (Quantum ESPRESSO input):
```
&SYSTEM
  ibrav = 0, nat = 8, ntyp = 3
/
ATOMIC_SPECIES
Be 9.01 Be.upf
V 50.94 V.upf
I 126.90 I.upf
ATOMIC_POSITIONS crystal
Be 0.0000 0.0000 0.0000
Be 0.7500 0.2500 0.5000
V 0.2500 0.7500 0.5000
V 0.5000 0.5000 0.0000
I 0.0853 0.6250 0.9603
I 0.3750 0.3353 0.4603
I 0.6647 0.1250 0.0397
I 0.8750 0.9147 0.5397
CELL_PARAMETERS angstrom
-3.1164 3.1164 5.7037
3.1164 -3.1164 5.7037
3.1164 3.1164 -5.7037
```

Calculated values
- Energy above the most stable polymorph in this dataset: 0.000 eV/atom
- Formation energy without anion corrections: 0.6209 eV per atom
- D(E_F): 1.03 states/eV/atom

***

No. 4
# BeV2I

Crystalline BeV2I at its relaxed geometry (GGA-PBE, Alexandria via LeMat-Bulk). Values from VASP.

Structure (Quantum ESPRESSO input):
```
&SYSTEM
  ibrav = 0, nat = 4, ntyp = 3
/
ATOMIC_SPECIES
Be 9.01 Be.upf
V 50.94 V.upf
I 126.90 I.upf
ATOMIC_POSITIONS crystal
Be 0.0000 0.0000 0.0000
V 0.2500 0.2500 0.2500
V 0.7500 0.7500 0.7500
I 0.5000 0.5000 0.5000
CELL_PARAMETERS angstrom
0.0000 3.0875 3.0875
3.0875 0.0000 3.0875
3.0875 3.0875 0.0000
```

Calculated values
- Energy above the most stable polymorph in this dataset: 0.005 eV/atom
- Formation energy without anion corrections: 0.8056 eV per atom
- D(E_F): 1.09 states/eV/atom